# PBE-GGA B2PN, optimized geometry
# energy = -6.668 eV per atom
# ΔE to the lowest computed polymorph = 513 meV/atom
# DOS(E_F) = 0.3133 states/eV/atom
# formation energy from raw total energies = 0.10 eV per atom
data_B2PN
_cell_length_a 3.1237
_cell_length_b 3.1237
_cell_length_c 14.9115
_cell_angle_alpha 90.00
_cell_angle_beta 90.00
_cell_angle_gamma 120.00
_symmetry_space_group_name_H-M 'R -3 m'
_symmetry_Int_Tables_number 166
_symmetry_space_group_name_Hall '-R 3 2"'
loop_
_atom_site_label
_atom_site_type_symbol
_atom_site_fract_x
_atom_site_fract_y
_atom_site_fract_z
B1 B 0.0000 0.0000 0.0896
P1 P 0.0000 0.0000 0.5000
N1 N 0.0000 0.0000 0.0000

---

# PBE-GGA B3PN3, optimized geometry
# energy = -6.827 eV per atom
# DOS(E_F) = 0.4502 states/eV/atom
# formation energy from raw total energies = 0.38 eV per atom
data_B3PN3
_cell_length_a 4.6868
_cell_length_b 4.6868
_cell_length_c 4.6868
_cell_angle_alpha 90.00
_cell_angle_beta 90.00
_cell_angle_gamma 90.00
_symmetry_space_group_name_H-M 'P m -3 n'
_symmetry_Int_Tables_number 223
_symmetry_space_group_name_Hall '-P 4n 2 3'
loop_
_atom_site_label
_atom_site_type_symbol
_atom_site_fract_x
_atom_site_fract_y
_atom_site_fract_z
B1 B 0.0000 0.2500 0.5000
P1 P 0.0000 0.0000 0.0000
N1 N 0.0000 0.5000 0.2500